# CeDy3Ho6

A relaxed CeDy3Ho6 crystal (PBE, the Alexandria database).

Structure (POSCAR):
```
CeDy3Ho6
1.0
5.812 0.000 2.793
2.964 7.086 1.275
-0.271 -1.983 8.008
Ce Dy Ho
1 3 6
Cartesian
4.252 2.551 6.037
2.068 1.464 3.141
6.437 3.638 8.934
0.000 0.000 0.000
6.318 5.162 5.558
5.168 -0.060 7.950
2.187 -0.060 6.517
3.337 5.162 4.125
5.686 3.199 3.055
2.819 1.903 9.020
```

M_tot   0.1916 μB per atom
ΔE_f   34 kJ per mole of atoms
Calculated volume   333.4 Å³ per cell